# 1
VASP calculation (PBE) on an optimized crystal structure of La4Y10Ho.

Unit cell a=10.664 b=8.799 c=8.799 alpha=68.46 beta=52.70 gamma=52.70
Fractional coordinates of all 15 atoms:
Y: 0.250 0.500 0.500
Y: 0.452 0.679 0.094
Y: 0.870 0.906 0.679
Y: 0.548 0.321 0.906
Y: 0.750 0.500 0.500
Y: 0.454 0.094 0.321
Y: 0.546 0.906 0.679
Y: 0.776 0.679 0.094
Y: 0.224 0.321 0.906
Y: 0.130 0.094 0.321
La: 0.335 0.731 0.600
La: 0.066 0.600 0.269
La: 0.934 0.400 0.731
La: 0.665 0.269 0.400
Ho: 0.000 0.000 0.000

## Properties
**Space-group type**: No. 87
**ΔE_f**: 0.36 eV/atom

***

# 2
VASP calculation (PBE) on an optimized crystal structure of LaY4Ho6.

Unit cell a=7.689 b=7.689 c=8.489 alpha=116.93 beta=116.93 gamma=90.00
Fractional coordinates of all 11 atoms:
Ho: 0.500 0.000 0.000
Ho: 0.562 0.562 0.630
Ho: 0.932 0.438 0.370
Ho: 0.000 0.500 0.000
Ho: 0.068 0.068 0.630
Ho: 0.438 0.932 0.370
La: 0.500 0.500 0.000
Y: 0.757 0.089 0.845
Y: 0.911 0.911 0.155
Y: 0.089 0.757 0.845
Y: 0.243 0.243 0.155

## Properties
**Space-group type**: No. 121
**Energy relative to the lowest polymorph listed for this composition**: 32.6 kJ/mol of atoms
**ΔE_f**: 0.46 eV/atom